No. 1
This record from the Alexandria database describes a PBEsol-optimized structure of MoF4. The functional is SCAN.

extended XYZ file:
```
10
Lattice="4.910 0.000 0.000 -0.003 5.196 0.000 -1.372 -2.549 5.108" Properties=species:S:1:pos:R:3 pbc="T T T"
Mo 0.000 0.000 0.000
Mo 2.173 2.600 0.015
F -0.313 1.346 3.990
F -0.248 -1.251 3.991
F 0.929 1.358 1.203
F 1.223 3.958 1.202
F 1.944 0.066 3.684
F 2.414 2.660 3.646
F 3.412 1.193 0.784
F 3.661 3.806 0.792
```

Output
- energy relative to the elements, uncorrected (eV per atom) = -2.52
- final energy (eV/atom) = -12.33



No. 2
This record from the Alexandria database describes a PBEsol-optimized structure of MoF6. The functional is SCAN.

extended XYZ file:
```
28
Lattice="9.636 0.000 0.000 0.000 8.724 0.000 0.000 0.000 5.024" Properties=species:S:1:pos:R:3 pbc="T T T"
Mo 1.235 2.181 0.382
Mo 3.583 6.543 2.894
Mo 6.054 2.181 2.130
Mo 8.401 6.543 4.642
F 0.124 2.181 3.950
F 0.206 0.887 1.172
F 0.206 3.475 1.172
F 2.264 0.884 4.621
F 2.264 3.478 4.621
F 2.351 2.181 1.839
F 2.467 6.543 4.350
F 2.554 5.246 2.109
F 2.554 7.840 2.109
F 4.612 5.249 3.684
F 4.612 7.837 3.684
F 4.694 6.543 1.439
F 4.942 2.181 3.585
F 5.024 0.887 1.339
F 5.024 3.475 1.339
F 7.083 0.884 2.914
F 7.083 3.478 2.914
F 7.169 2.181 0.673
F 7.285 6.543 3.185
F 7.372 5.246 0.402
F 7.372 7.840 0.402
F 9.430 5.249 3.851
F 9.430 7.837 3.851
F 9.512 6.543 1.073
```

Output
- energy relative to the elements, uncorrected (eV per atom) = -2.56
- final energy (eV/atom) = -10.58



No. 3
This record from the Alexandria database describes a PBEsol-optimized structure of MoF6. The functional is SCAN.

extended XYZ file:
```
7
Lattice="-3.222 3.222 3.222 3.222 -3.222 3.222 3.222 3.222 -3.222" Properties=species:S:1:pos:R:3 pbc="T T T"
Mo 0.000 0.000 0.000
F 1.832 0.000 0.000
F 4.613 0.000 0.000
F 0.000 1.832 0.000
F 0.000 0.000 1.832
F 0.000 4.613 0.000
F 0.000 0.000 4.613
```

Output
- energy relative to the elements, uncorrected (eV per atom) = -2.54
- final energy (eV/atom) = -10.56



No. 4
This record from the Alexandria database describes a PBEsol-optimized structure of MoRhNF2. The functional is SCAN.

extended XYZ file:
```
5
Lattice="4.231 0.000 0.000 0.000 4.231 0.000 0.000 0.000 3.704" Properties=species:S:1:pos:R:3 pbc="T T T"
Mo 0.000 0.000 0.000
Rh 2.116 2.116 1.852
N 2.116 2.116 0.000
F 0.000 2.116 1.852
F 2.116 0.000 1.852
```

Output
- energy relative to the elements, uncorrected (eV per atom) = 0.07
- final energy (eV/atom) = -16.94



No. 5
This record from the Alexandria database describes a PBEsol-optimized structure of MoRhN2F. The functional is SCAN.

extended XYZ file:
```
5
Lattice="3.877 0.000 0.000 0.000 3.877 0.000 0.000 0.000 3.832" Properties=species:S:1:pos:R:3 pbc="T T T"
Mo 0.000 0.000 0.000
Rh 1.939 1.939 1.916
N 0.000 1.939 1.916
N 1.939 0.000 1.916
F 1.939 1.939 0.000
```

Output
- energy relative to the elements, uncorrected (eV per atom) = 0.75
- final energy (eV/atom) = -17.41



No. 6
This record from the Alexandria database describes a PBEsol-optimized structure of MoSNF2. The functional is SCAN.

extended XYZ file:
```
5
Lattice="4.036 0.000 0.000 0.000 4.036 0.000 0.000 0.000 3.894" Properties=species:S:1:pos:R:3 pbc="T T T"
Mo 0.000 0.000 0.000
S 2.018 2.018 1.947
N 0.000 0.000 1.947
F 0.000 2.018 0.000
F 2.018 0.000 0.000
```

Output
- energy relative to the elements, uncorrected (eV per atom) = -0.54
- final energy (eV/atom) = -12.72



No. 7
This record from the Alexandria database describes a PBEsol-optimized structure of ScMoNF2. The functional is SCAN.

extended XYZ file:
```
5
Lattice="3.873 0.000 0.000 0.000 3.873 0.000 0.000 0.000 4.471" Properties=species:S:1:pos:R:3 pbc="T T T"
Sc 0.000 0.000 0.000
Mo 1.937 1.937 2.235
N 0.000 0.000 2.235
F 0.000 1.937 0.000
F 1.937 0.000 0.000
```

Output
- energy relative to the elements, uncorrected (eV per atom) = -1.47
- final energy (eV/atom) = -14.57



No. 8
This record from the Alexandria database describes a PBEsol-optimized structure of ScMoN2F. The functional is SCAN.

extended XYZ file:
```
5
Lattice="3.937 0.000 0.000 0.000 3.937 0.000 0.000 0.000 3.880" Properties=species:S:1:pos:R:3 pbc="T T T"
Sc 0.000 0.000 0.000
Mo 1.969 1.969 1.940
N 0.000 1.969 1.940
N 1.969 0.000 1.940
F 1.969 1.969 0.000
```

Output
- energy relative to the elements, uncorrected (eV per atom) = -0.92
- final energy (eV/atom) = -15.16



No. 9
This record from the Alexandria database describes a PBEsol-optimized structure of SnMoN2F. The functional is SCAN.

extended XYZ file:
```
5
Lattice="3.977 0.000 0.000 0.000 3.977 0.000 0.000 0.000 4.084" Properties=species:S:1:pos:R:3 pbc="T T T"
Sn 0.000 0.000 0.000
Mo 1.989 1.989 2.042
N 0.000 1.989 2.042
N 1.989 0.000 2.042
F 1.989 1.989 0.000
```

Output
- energy relative to the elements, uncorrected (eV per atom) = -0.32
- final energy (eV/atom) = -18.91



No. 10
This record from the Alexandria database describes a PBEsol-optimized structure of SnMoNF2. The functional is SCAN.

extended XYZ file:
```
5
Lattice="4.196 0.000 0.000 0.000 4.196 0.000 0.000 0.000 3.908" Properties=species:S:1:pos:R:3 pbc="T T T"
Sn 0.000 0.000 0.000
Mo 2.098 2.098 1.954
N 2.098 2.098 0.000
F 0.000 2.098 1.954
F 2.098 0.000 1.954
```

Output
- energy relative to the elements, uncorrected (eV per atom) = -0.87
- final energy (eV/atom) = -18.30



No. 11
This record from the Alexandria database describes a PBEsol-optimized structure of SrMoN2F. The functional is SCAN.

extended XYZ file:
```
5
Lattice="3.963 0.000 0.000 0.000 3.963 0.000 0.000 0.000 4.125" Properties=species:S:1:pos:R:3 pbc="T T T"
Sr 0.000 0.000 0.000
Mo 1.982 1.982 2.063
N 0.000 1.982 2.063
N 1.982 0.000 2.063
F 1.982 1.982 0.000
```

Output
- energy relative to the elements, uncorrected (eV per atom) = -1.35
- final energy (eV/atom) = -17.20



No. 12
This record from the Alexandria database describes a PBEsol-optimized structure of TiMoN2F. The functional is SCAN.

extended XYZ file:
```
5
Lattice="3.923 0.000 0.000 0.000 3.923 0.000 0.000 0.000 3.863" Properties=species:S:1:pos:R:3 pbc="T T T"
Ti 0.000 0.000 0.000
Mo 1.961 1.961 1.931
N 0.000 1.961 1.931
N 1.961 0.000 1.931
F 1.961 1.961 0.000
```

Output
- energy relative to the elements, uncorrected (eV per atom) = -0.52
- final energy (eV/atom) = -15.13



No. 13
This record from the Alexandria database describes a PBEsol-optimized structure of Na3MoO3F3. The functional is SCAN.

extended XYZ file:
```
10
Lattice="2.800 1.617 4.867 -2.800 1.617 4.867 0.000 -3.233 4.867" Properties=species:S:1:pos:R:3 pbc="T T T"
Na 0.000 0.000 0.000
Na 0.000 0.000 3.198
Na 0.000 0.000 7.325
Mo 0.000 0.000 10.625
O -1.228 -1.833 6.500
O -0.973 1.980 6.500
O 2.201 -0.147 6.500
F -1.486 0.126 9.129
F 0.634 -1.350 9.129
F 0.853 1.224 9.129
```

Output
- energy relative to the elements, uncorrected (eV per atom) = -2.62
- final energy (eV/atom) = -10.30



No. 14
This record from the Alexandria database describes a PBEsol-optimized structure of NaMoO3F. The functional is SCAN.

extended XYZ file:
```
12
Lattice="6.507 0.000 0.000 0.000 3.683 0.000 -2.512 0.000 6.766" Properties=species:S:1:pos:R:3 pbc="T T T"
Na 0.116 0.921 1.391
Na 3.879 2.762 5.374
Mo 0.600 0.921 5.312
Mo 3.395 2.762 1.454
O -0.007 0.921 3.730
O 1.697 2.762 1.705
O 0.467 2.762 5.889
O 3.527 0.921 0.876
O 2.298 0.921 5.060
O 4.002 2.762 3.035
F -1.372 0.921 6.073
F 5.367 2.762 0.693
```

Output
- energy relative to the elements, uncorrected (eV per atom) = -2.39
- final energy (eV/atom) = -12.61



No. 15
This record from the Alexandria database describes a PBEsol-optimized structure of Na3MoO4F. The functional is SCAN.

extended XYZ file:
```
36
Lattice="5.549 0.000 0.000 0.000 7.483 0.000 0.000 0.000 12.827" Properties=species:S:1:pos:R:3 pbc="T T T"
Na 1.255 0.273 2.292
Na 1.255 3.468 2.292
Na 1.257 5.612 11.475
Na 1.518 1.871 5.062
Na 1.520 4.015 8.706
Na 1.520 7.210 8.706
Na 4.029 0.273 4.121
Na 4.029 3.468 4.121
Na 4.031 5.612 7.766
Na 4.293 1.871 1.352
Na 4.295 4.015 10.535
Na 4.295 7.210 10.535
Mo 1.156 5.612 5.331
Mo 1.619 1.871 11.745
Mo 3.931 5.612 1.083
Mo 4.393 1.871 7.496
O 0.619 1.871 7.448
O 0.994 1.871 0.567
O 1.050 0.431 10.900
O 1.050 3.311 10.900
O 1.725 4.172 4.486
O 1.725 7.052 4.486
O 1.780 5.612 6.981
O 2.156 5.612 1.034
O 3.394 1.871 11.793
O 3.769 1.871 5.846
O 3.825 0.431 8.342
O 3.825 3.311 8.342
O 4.499 4.172 1.928
O 4.499 7.052 1.928
O 4.555 5.612 12.260
O 4.930 5.612 5.379
F 0.023 5.612 9.390
F 2.751 1.871 2.977
F 2.798 5.612 9.851
F 5.526 1.871 3.437
```

Output
- energy relative to the elements, uncorrected (eV per atom) = -2.38
- final energy (eV/atom) = -10.83



No. 16
This record from the Alexandria database describes a PBEsol-optimized structure of Rb2NaMoF6. The functional is SCAN.

extended XYZ file:
```
10
Lattice="0.000 4.291 4.291 4.291 0.000 4.291 4.291 4.291 0.000" Properties=species:S:1:pos:R:3 pbc="T T T"
Rb 2.146 2.146 2.146
Rb 6.437 6.437 6.437
Na 0.000 0.000 0.000
Mo 4.291 4.291 4.291
F 4.291 4.291 2.247
F 4.291 2.247 4.291
F 6.335 4.291 4.291
F 2.247 4.291 4.291
F 4.291 6.335 4.291
F 4.291 4.291 6.335
```

Output
- energy relative to the elements, uncorrected (eV per atom) = -2.90
- final energy (eV/atom) = -13.08



No. 17
This record from the Alexandria database describes a PBEsol-optimized structure of NaTl2MoF6. The functional is SCAN.

extended XYZ file:
```
10
Lattice="0.000 4.281 4.281 4.281 0.000 4.281 4.281 4.281 0.000" Properties=species:S:1:pos:R:3 pbc="T T T"
Na 0.000 0.000 0.000
Tl 2.141 2.141 2.141
Tl 6.422 6.422 6.422
Mo 4.281 4.281 4.281
F 4.281 4.281 2.238
F 4.281 2.238 4.281
F 6.325 4.281 4.281
F 2.238 4.281 4.281
F 4.281 6.325 4.281
F 4.281 4.281 6.325
```

Output
- energy relative to the elements, uncorrected (eV per atom) = -2.41
- final energy (eV/atom) = -22.92



No. 18
This record from the Alexandria database describes a PBEsol-optimized structure of NbMoO2F. The functional is SCAN.

extended XYZ file:
```
5
Lattice="3.910 0.000 0.000 0.000 3.910 0.000 0.000 0.000 4.082" Properties=species:S:1:pos:R:3 pbc="T T T"
Nb 0.000 0.000 0.000
Mo 1.955 1.955 2.041
O 0.000 1.955 2.041
O 1.955 0.000 2.041
F 1.955 1.955 0.000
```

Output
- energy relative to the elements, uncorrected (eV per atom) = -0.99
- final energy (eV/atom) = -17.79



No. 19
This record from the Alexandria database describes a PBEsol-optimized structure of NbMoPbF2. The functional is SCAN.

extended XYZ file:
```
5
Lattice="4.031 0.000 0.000 0.000 4.031 0.000 0.000 0.000 5.255" Properties=species:S:1:pos:R:3 pbc="T T T"
Nb 0.000 0.000 0.000
Mo 0.000 0.000 2.628
Pb 2.015 2.015 0.000
F 0.000 2.015 2.628
F 2.015 0.000 2.628
```

Output
- energy relative to the elements, uncorrected (eV per atom) = -0.75
- final energy (eV/atom) = -30.92



No. 20
This record from the Alexandria database describes a PBEsol-optimized structure of NdMoO4F. The functional is SCAN.

extended XYZ file:
```
28
Lattice="6.862 0.000 0.000 0.000 6.514 0.000 -4.283 0.000 8.989" Properties=species:S:1:pos:R:3 pbc="T T T"
Nd -0.455 0.830 3.801
Nd -2.596 2.427 8.296
Nd 5.176 4.087 0.694
Nd 3.035 5.684 5.188
Mo -0.577 4.142 5.993
Mo 1.564 5.629 1.498
Mo 1.016 0.885 7.491
Mo 3.157 2.372 2.997
O 0.785 4.176 0.738
O -1.356 5.595 5.232
O 1.088 0.642 0.799
O -1.054 2.615 5.293
O -0.679 3.955 7.777
O 1.462 5.816 3.282
O -0.671 1.046 7.829
O 1.471 2.211 3.335
O 1.109 4.303 5.655
O 3.250 5.468 1.160
O 1.118 0.698 5.707
O 3.259 2.559 1.213
O 3.633 3.899 3.696
O 1.492 5.872 8.191
O 3.936 0.919 3.757
O 1.795 2.338 8.252
F -3.027 4.015 6.621
F -0.885 5.756 2.126
F 3.465 0.758 6.863
F 5.607 2.499 2.368
```

Output
- energy relative to the elements, uncorrected (eV per atom) = -3.06
- final energy (eV/atom) = -18.33